First-principles (PBE-GGA) data for a geometry-optimized RbPu2ReO8 structure, as listed in the Alexandria database.

abc: 5.304 5.304 7.458
angles: 99.44 99.44 79.92
Fractional positions:
Rb: 0.000 0.000 0.000
Pu: 0.455 0.455 0.763
Pu: 0.545 0.545 0.237
Re: 0.000 0.000 0.500
O: 0.193 0.794 0.320
O: 0.206 0.807 0.680
O: 0.245 0.245 0.548
O: 0.349 0.349 0.012
O: 0.651 0.651 0.988
O: 0.755 0.755 0.452
O: 0.794 0.193 0.320
O: 0.807 0.206 0.680

Summary:
- formation energy (no corrections) (meV per atom) = -2183.8
- E_tot (eV/atom) = -9.00

First-principles (PBE-GGA) data for a geometry-optimized LiYNi structure, as listed in the Alexandria database.

abc: 6.334 6.334 6.334
angles: 90.00 90.00 90.00
Fractional positions:
Li: 0.000 0.000 0.000
Li: 0.000 0.500 0.500
Li: 0.500 0.000 0.500
Li: 0.500 0.500 0.000
Y: 0.000 0.000 0.500
Y: 0.000 0.500 0.000
Y: 0.500 0.000 0.000
Y: 0.500 0.500 0.500
Ni: 0.250 0.250 0.250
Ni: 0.250 0.750 0.750
Ni: 0.750 0.250 0.750
Ni: 0.750 0.750 0.250

Summary:
- formation energy from the elements (meV per atom) = -13
- E_tot (eV/atom) = -4.73
- energy above the most stable polymorph in this dataset (eV/atom) = 0.190

First-principles (PBE-GGA) data for a geometry-optimized Cd2HRh2 structure, as listed in the Alexandria database.

abc: 3.556 3.556 14.542
angles: 90.00 90.00 90.00
Fractional positions:
Cd: 0.000 0.000 0.095
Cd: 0.000 0.000 0.905
Cd: 0.500 0.500 0.405
Cd: 0.500 0.500 0.595
H: 0.000 0.000 0.500
H: 0.500 0.500 0.000
Rh: 0.000 0.500 0.250
Rh: 0.000 0.500 0.750
Rh: 0.500 0.000 0.250
Rh: 0.500 0.000 0.750

Summary:
- E_tot (eV/atom) = -3.40
- energy above the most stable polymorph in this dataset (eV/atom) = 0.640

First-principles (PBE-GGA) data for a geometry-optimized Ac2PmAs2S2 structure, as listed in the Alexandria database.

abc: 5.431 5.431 15.238
angles: 90.00 90.00 90.00
Fractional positions:
Ac: 0.000 0.000 0.132
Ac: 0.000 0.000 0.868
Ac: 0.500 0.500 0.368
Ac: 0.500 0.500 0.632
Pm: 0.000 0.000 0.500
Pm: 0.500 0.500 0.000
As: 0.000 0.500 0.000
As: 0.000 0.500 0.500
As: 0.500 0.000 0.000
As: 0.500 0.000 0.500
S: 0.000 0.000 0.316
S: 0.000 0.000 0.684
S: 0.500 0.500 0.184
S: 0.500 0.500 0.816

Summary:
- formation energy (no corrections) (meV per atom) = -1294.7
- E_tot (eV/atom) = -5.65

First-principles (PBE-GGA) data for a geometry-optimized Pm2UAs3Rh4 structure, as listed in the Alexandria database.

abc: 4.175 4.175 11.200
angles: 90.00 90.00 90.00
Fractional positions:
Pm: 0.000 0.500 0.220
Pm: 0.500 0.000 0.780
U: 0.000 0.000 0.500
As: 0.000 0.500 0.869
As: 0.500 0.000 0.131
As: 0.500 0.500 0.500
Rh: 0.000 0.000 0.000
Rh: 0.000 0.500 0.650
Rh: 0.500 0.000 0.350
Rh: 0.500 0.500 0.000

Summary:
- formation energy from the elements (meV per atom) = -855
- E_tot (eV/atom) = -7.27

First-principles (PBE-GGA) data for a geometry-optimized Dy2Co3Ni12Ge structure, as listed in the Alexandria database.

abc: 6.225 6.225 6.225
angles: 82.89 82.89 82.89
Fractional positions:
Dy: 0.226 0.226 0.226
Dy: 0.774 0.774 0.774
Co: 0.000 0.500 0.500
Co: 0.500 0.000 0.500
Co: 0.500 0.500 0.000
Ni: 0.079 0.079 0.647
Ni: 0.079 0.647 0.079
Ni: 0.230 0.700 0.700
Ni: 0.300 0.300 0.770
Ni: 0.300 0.770 0.300
Ni: 0.353 0.921 0.921
Ni: 0.647 0.079 0.079
Ni: 0.700 0.230 0.700
Ni: 0.700 0.700 0.230
Ni: 0.770 0.300 0.300
Ni: 0.921 0.353 0.921
Ni: 0.921 0.921 0.353
Ge: 0.500 0.500 0.500

Summary:
- formation energy from the elements (meV per atom) = 10
- E_tot (eV/atom) = -5.80

First-principles (PBE-GGA) data for a geometry-optimized CdNiAg structure, as listed in the Alexandria database.

abc: 4.469 4.469 2.847
angles: 90.00 90.00 120.00
Fractional positions:
Cd: 0.000 0.000 0.000
Ni: 0.333 0.667 0.312
Ag: 0.667 0.333 0.590

Summary:
- formation energy from the elements (meV per atom) = 159
- E_tot (eV/atom) = -3.02
- energy above the most stable polymorph in this dataset (eV/atom) = 0.087

First-principles (PBE-GGA) data for a geometry-optimized TlSbPt3 structure, as listed in the Alexandria database.

abc: 5.037 5.037 5.037
angles: 90.00 90.00 90.00
Fractional positions:
Tl: 0.000 0.000 0.000
Sb: 0.500 0.500 0.500
Pt: 0.000 0.500 0.500
Pt: 0.500 0.000 0.500
Pt: 0.500 0.500 0.000

Summary:
- formation energy (no corrections) (meV per atom) = 525.4
- E_tot (eV/atom) = -4.40
- energy above the most stable polymorph in this dataset (eV/atom) = 0.000

First-principles (PBE-GGA) data for a geometry-optimized Hf2Ti4Nb2Mo structure, as listed in the Alexandria database.

abc: 5.077 5.294 7.086
angles: 77.86 87.10 63.59
Fractional positions:
Hf: 0.150 0.206 0.454
Hf: 0.850 0.794 0.546
Ti: 0.201 0.843 0.184
Ti: 0.391 0.740 0.817
Ti: 0.609 0.260 0.183
Ti: 0.799 0.157 0.816
Nb: 0.213 0.307 0.892
Nb: 0.787 0.693 0.108
Mo: 0.500 0.500 0.500

Summary:
- formation energy from the elements (meV per atom) = 57
- E_tot (eV/atom) = -9.11

First-principles (PBE-GGA) data for a geometry-optimized LaAl2Cr structure, as listed in the Alexandria database.

abc: 5.983 9.368 3.060
angles: 90.00 90.00 90.00
Fractional positions:
La: 0.000 0.000 0.000
La: 0.500 0.500 0.000
Al: 0.250 0.250 0.500
Al: 0.250 0.750 0.500
Al: 0.750 0.250 0.500
Al: 0.750 0.750 0.500
Cr: 0.000 0.500 0.000
Cr: 0.500 0.000 0.000

Summary:
- formation energy from the elements (meV per atom) = 223
- E_tot (eV/atom) = -5.29

First-principles (PBE-GGA) data for a geometry-optimized CePaBi6 structure, as listed in the Alexandria database.

abc: 4.554 4.506 24.903
angles: 90.00 90.00 90.00
Fractional positions:
Ce: 0.000 0.000 0.000
Ce: 0.000 0.500 0.500
Pa: 0.500 0.000 0.653
Pa: 0.500 0.500 0.153
Bi: 0.000 0.000 0.132
Bi: 0.000 0.000 0.404
Bi: 0.000 0.000 0.756
Bi: 0.000 0.500 0.256
Bi: 0.000 0.500 0.632
Bi: 0.000 0.500 0.904
Bi: 0.500 0.000 0.253
Bi: 0.500 0.000 0.524
Bi: 0.500 0.000 0.881
Bi: 0.500 0.500 0.024
Bi: 0.500 0.500 0.381
Bi: 0.500 0.500 0.753

Summary:
- formation energy from the elements (meV per atom) = -225
- E_tot (eV/atom) = -5.06

First-principles (PBE-GGA) data for a geometry-optimized TiH3Rh structure, as listed in the Alexandria database.

abc: 3.455 3.455 3.455
angles: 90.00 90.00 90.00
Fractional positions:
Ti: 0.000 0.000 0.000
H: 0.000 0.500 0.500
H: 0.500 0.000 0.500
H: 0.500 0.500 0.000
Rh: 0.500 0.500 0.500

Summary:
- E_tot (eV/atom) = -5.27

First-principles (PBE-GGA) data for a geometry-optimized BSe3N structure, as listed in the Alexandria database.

abc: 4.366 4.366 4.366
angles: 90.00 90.00 90.00
Fractional positions:
B: 0.000 0.000 0.000
Se: 0.000 0.500 0.500
Se: 0.500 0.000 0.500
Se: 0.500 0.500 0.000
N: 0.500 0.500 0.500

Summary:
- formation energy (no corrections) (meV per atom) = 1649.7
- E_tot (eV/atom) = -3.44
- energy above the most stable polymorph in this dataset (eV/atom) = 0.000